[1]
A relaxed structure of SmZrNp. Source: the Open Quantum Materials Database, functional PBE.

magnetization = 4.310 μB/f.u.
raw total energy = -7.342 eV per atom
energy of formation from the pure elements = 4.00 eV/f.u.

a = 6.796 Å, b = 6.796 Å, c = 6.796 Å
α = 90.00°, β = 90.00°, γ = 90.00°
Space group F-43m (No. 216)
Symmetry-distinct sites (fractional):
Sm (0.000, 0.000, 0.000)
Zr (0.250, 0.250, 0.250)
Np (0.250, 0.250, 0.750)

***

[2]
A relaxed structure of NpSn. Source: the Open Quantum Materials Database, functional PBE.

magnetization = 3.853 μB/f.u.
raw total energy = -7.998 eV per atom

a = 6.245 Å, b = 6.245 Å, c = 6.245 Å
α = 90.00°, β = 90.00°, γ = 90.00°
Space group Fm-3m (No. 225)
Symmetry-distinct sites (fractional):
Np (0.000, 0.000, 0.000)
Sn (0.000, 0.000, 0.500)

***

[3]
A relaxed structure of NpSn. Source: the Open Quantum Materials Database, functional PBE.

magnetization = 3.500 μB/f.u.
raw total energy = -8.343 eV per atom

a = 3.1603 Å, b = 3.1603 Å, c = 5.5383 Å
α = 90.00°, β = 90.00°, γ = 120.00°
Space group P-6m2 (No. 187)
Symmetry-distinct sites (fractional):
Np (0.0000, 0.0000, 0.0000)
Sn (0.6667, 0.3333, 0.5000)

***

[4]
A relaxed structure of NpSn. Source: the Open Quantum Materials Database, functional PBE.

magnetization = 3.899 μB/f.u.
raw total energy = -7.184 eV per atom

a = 7.031 Å, b = 7.031 Å, c = 7.031 Å
α = 90.00°, β = 90.00°, γ = 90.00°
Space group F-43m (No. 216)
Symmetry-distinct sites (fractional):
Np (0.000, 0.000, 0.000)
Sn (0.250, 0.250, 0.750)

***

[5]
A relaxed structure of NpSn3. Source: the Open Quantum Materials Database, functional PBE.

magnetization = 4.098 μB/f.u.
raw total energy = -6.378 eV per atom

a = 4.655 Å, b = 4.655 Å, c = 4.655 Å
α = 90.00°, β = 90.00°, γ = 90.00°
Space group Pm-3m (No. 221)
Symmetry-distinct sites (fractional):
Np (0.000, 0.000, 0.000)
Sn (0.000, 0.500, 0.500)

***

[6]
A relaxed structure of Np2Sn. Source: the Open Quantum Materials Database, functional PBE.

magnetization = 9.429 μB/f.u.
raw total energy = -7.428 eV per atom

a = 13.825 Å, b = 13.825 Å, c = 13.825 Å
α = 90.00°, β = 90.00°, γ = 90.00°
Space group Fd-3m (No. 227, origin choice 2)
Symmetry-distinct sites (fractional):
Np (0.000, 0.000, 0.000)
Sn (0.125, 0.125, 0.125)

***

[7]
A relaxed structure of SrNpSn. Source: the Open Quantum Materials Database, functional PBE.

magnetization = 4.985 μB/f.u.
raw total energy = -5.924 eV per atom

a = 7.678 Å, b = 7.678 Å, c = 7.678 Å
α = 90.00°, β = 90.00°, γ = 90.00°
Space group F-43m (No. 216)
Symmetry-distinct sites (fractional):
Sr (0.000, 0.000, 0.000)
Np (0.000, 0.000, 0.500)
Sn (0.250, 0.250, 0.750)

***

[8]
A relaxed structure of NpTlSn. Source: the Open Quantum Materials Database, functional PBE.

magnetization = 4.664 μB/f.u.
raw total energy = -5.920 eV per atom

a = 7.210 Å, b = 7.210 Å, c = 7.210 Å
α = 90.00°, β = 90.00°, γ = 90.00°
Space group F-43m (No. 216)
Symmetry-distinct sites (fractional):
Np (0.000, 0.000, 0.000)
Tl (0.250, 0.250, 0.250)
Sn (0.000, 0.000, 0.500)

***

[9]
A relaxed structure of TmNpSn. Source: the Open Quantum Materials Database, functional PBE.

magnetization = 5.822 μB/f.u.
raw total energy = -6.613 eV per atom

a = 7.156 Å, b = 7.156 Å, c = 7.156 Å
α = 90.00°, β = 90.00°, γ = 90.00°
Space group F-43m (No. 216)
Symmetry-distinct sites (fractional):
Tm (0.000, 0.000, 0.000)
Np (0.250, 0.250, 0.750)
Sn (0.250, 0.250, 0.250)

***

[10]
A relaxed structure of NpSnW. Source: the Open Quantum Materials Database, functional PBE.

magnetization = 3.109 μB/f.u.
ΔE to the lowest computed polymorph = 0.00 kJ/mol of atoms
raw total energy = -9.261 eV per atom

a = 6.593 Å, b = 6.593 Å, c = 6.593 Å
α = 90.00°, β = 90.00°, γ = 90.00°
Space group F-43m (No. 216)
Symmetry-distinct sites (fractional):
Np (0.000, 0.000, 0.000)
Sn (0.000, 0.000, 0.500)
W (0.250, 0.250, 0.250)

***

[11]
A relaxed structure of NpSnW. Source: the Open Quantum Materials Database, functional PBE.

magnetization = 2.695 μB/f.u.
ΔE to the lowest computed polymorph = 75.82 kJ/mol of atoms
raw total energy = -8.475 eV per atom

a = 6.653 Å, b = 6.653 Å, c = 6.653 Å
α = 90.00°, β = 90.00°, γ = 90.00°
Space group F-43m (No. 216)
Symmetry-distinct sites (fractional):
Np (0.000, 0.000, 0.000)
Sn (0.250, 0.250, 0.750)
W (0.250, 0.250, 0.250)

***

[12]
A relaxed structure of YNpSn. Source: the Open Quantum Materials Database, functional PBE.

magnetization = 5.904 μB/f.u.
raw total energy = -7.264 eV per atom

a = 7.239 Å, b = 7.239 Å, c = 7.239 Å
α = 90.00°, β = 90.00°, γ = 90.00°
Space group F-43m (No. 216)
Symmetry-distinct sites (fractional):
Y (0.000, 0.000, 0.000)
Np (0.250, 0.250, 0.750)
Sn (0.250, 0.250, 0.250)

***

[13]
A relaxed structure of SrNpTa. Source: the Open Quantum Materials Database, functional PBE.

magnetization = 4.471 μB/f.u.
ΔE to the lowest computed polymorph = 0.00 kJ/mol of atoms
raw total energy = -7.138 eV per atom

a = 7.213 Å, b = 7.213 Å, c = 7.213 Å
α = 90.00°, β = 90.00°, γ = 90.00°
Space group F-43m (No. 216)
Symmetry-distinct sites (fractional):
Sr (0.000, 0.000, 0.000)
Np (0.000, 0.000, 0.500)
Ta (0.250, 0.250, 0.250)

***

[14]
A relaxed structure of SrNpTe. Source: the Open Quantum Materials Database, functional PBE.

magnetization = 5.950 μB/f.u.
ΔE to the lowest computed polymorph = 0.00 kJ/mol of atoms
raw total energy = -5.911 eV per atom

a = 7.539 Å, b = 7.539 Å, c = 7.539 Å
α = 90.00°, β = 90.00°, γ = 90.00°
Space group F-43m (No. 216)
Symmetry-distinct sites (fractional):
Sr (0.000, 0.000, 0.000)
Np (0.000, 0.000, 0.500)
Te (0.250, 0.250, 0.750)

***

[15]
A relaxed structure of SrThNp. Source: the Open Quantum Materials Database, functional PBE.

magnetization = 5.530 μB/f.u.
raw total energy = -5.916 eV per atom

a = 7.717 Å, b = 7.717 Å, c = 7.717 Å
α = 90.00°, β = 90.00°, γ = 90.00°
Space group F-43m (No. 216)
Symmetry-distinct sites (fractional):
Sr (0.000, 0.000, 0.000)
Th (0.000, 0.000, 0.500)
Np (0.250, 0.250, 0.250)

***

[16]
A relaxed structure of SrNpTl. Source: the Open Quantum Materials Database, functional PBE.

magnetization = 4.654 μB/f.u.
ΔE to the lowest computed polymorph = 0.00 kJ/mol of atoms
raw total energy = -5.044 eV per atom

a = 7.694 Å, b = 7.694 Å, c = 7.694 Å
α = 90.00°, β = 90.00°, γ = 90.00°
Space group F-43m (No. 216)
Symmetry-distinct sites (fractional):
Sr (0.000, 0.000, 0.000)
Np (0.000, 0.000, 0.500)
Tl (0.250, 0.250, 0.750)

***

[17]
A relaxed structure of SrNpU. Source: the Open Quantum Materials Database, functional PBE.

magnetization = 9.005 μB/f.u.
ΔE to the lowest computed polymorph = 0.00 kJ/mol of atoms
raw total energy = -6.994 eV per atom

a = 7.293 Å, b = 7.293 Å, c = 7.293 Å
α = 90.00°, β = 90.00°, γ = 90.00°
Space group F-43m (No. 216)
Symmetry-distinct sites (fractional):
Sr (0.000, 0.000, 0.000)
Np (0.250, 0.250, 0.250)
U (0.000, 0.000, 0.500)

***

[18]
A relaxed structure of SrNpZn. Source: the Open Quantum Materials Database, functional PBE.

magnetization = 5.174 μB/f.u.
ΔE to the lowest computed polymorph = 0.00 kJ/mol of atoms
raw total energy = -4.534 eV per atom

a = 7.340 Å, b = 7.340 Å, c = 7.340 Å
α = 90.00°, β = 90.00°, γ = 90.00°
Space group F-43m (No. 216)
Symmetry-distinct sites (fractional):
Sr (0.000, 0.000, 0.000)
Np (0.000, 0.000, 0.500)
Zn (0.250, 0.250, 0.750)

***

[19]
A relaxed structure of SrZrNp. Source: the Open Quantum Materials Database, functional PBE.

magnetization = 6.753 μB/f.u.
raw total energy = -5.882 eV per atom

a = 7.391 Å, b = 7.391 Å, c = 7.391 Å
α = 90.00°, β = 90.00°, γ = 90.00°
Space group F-43m (No. 216)
Symmetry-distinct sites (fractional):
Sr (0.000, 0.000, 0.000)
Zr (0.250, 0.250, 0.750)
Np (0.250, 0.250, 0.250)

***

[20]
A relaxed structure of NpTaTe. Source: the Open Quantum Materials Database, functional PBE.

magnetization = 3.988 μB/f.u.
ΔE to the lowest computed polymorph = 0.00 kJ/mol of atoms
raw total energy = -8.691 eV per atom

a = 6.689 Å, b = 6.689 Å, c = 6.689 Å
α = 90.00°, β = 90.00°, γ = 90.00°
Space group F-43m (No. 216)
Symmetry-distinct sites (fractional):
Np (0.000, 0.000, 0.000)
Ta (0.250, 0.250, 0.750)
Te (0.000, 0.000, 0.500)